## FeCl (PBE)

Data for an optimized crystal structure of FeCl.

The value obtained for the uncorrected formation energy is 167 meV/atom. The calculated total energy comes out at -4.99 eV/atom.

The structure belongs to space group F-43m (No. 216); the cell edges are 5.3309, 5.3309 and 5.3309 Å and the angles 90.00°, 90.00° and 90.00°. The inequivalent atoms are Fe at (0.0000, 0.0000, 0.0000) and Cl at (0.2500, 0.2500, 0.7500).

=====

## FeCl8 (PBE)

Data for an optimized crystal structure of FeCl8.

The value obtained for the uncorrected formation energy is -222 meV/atom. The calculated total energy comes out at -2.80 eV/atom.

The structure belongs to space group Immm (No. 71); the cell edges are 8.1144, 8.1424 and 10.7328 Å and the angles 90.00°, 90.00° and 90.00°. The inequivalent atoms are Fe at (0.0000, 0.0000, 0.0000), Cl at (0.0000, 0.0000, 0.2042), Cl at (0.0000, 0.2638, 0.0000) and Cl at (0.0000, 0.3770, 0.3177).